Material: Nb4ZnGeN2
Method: DFT, GGA-PBE
State: optimized geometry

Calculated values
Its volume is 14.36 A^3/atom. For the total DFT energy (no corrections), the calculation gives -67.6 eV/cell. Its symmetry is No. 187.

Lattice parameters (Å, degrees): 3.1969 3.1969 12.9830 90.00 90.00 120.00
Atoms (fractional coordinates):
Ge1 0.0000 0.0000 0.0000
N1 0.6667 0.3333 0.2466
N2 0.6667 0.3333 0.7534
Nb1 0.3333 0.6667 0.1540
Nb2 0.0000 0.0000 0.3336
Nb3 0.0000 0.0000 0.6664
Nb4 0.3333 0.6667 0.8460
Zn1 0.3333 0.6667 0.5000